[1]
A plane-wave DFT calculation with PBE was carried out for an optimized crystal structure of Ce3Pr2Sn4.

Output
D(E_F) in states/eV per atom: 2.33
SG: P2_1/c, No. 14
Formation energy from the elements in kJ/mol of atoms: -63
M_tot in μB/f.u.: 2.613
Calculated density in g cm⁻³: 7.0

abc: 8.286 8.535 8.495
angles: 90.00 90.00 111.79
Site moments in Bohr magnetons follow the coordinates.
Positions (direct):
Ce (0.275, 0.757, 0.167)  0.67
Ce (0.775, 0.757, 0.333)  0.67
Ce (0.500, 0.500, 0.000)  0.77
Ce (0.725, 0.243, 0.833)  0.67
Ce (0.225, 0.243, 0.667)  0.67
Ce (0.000, 0.500, 0.500)  0.77
Pr (0.063, 0.198, 0.181)  0.03
Pr (0.937, 0.802, 0.819)  0.03
Pr (0.437, 0.802, 0.681)  0.03
Pr (0.563, 0.198, 0.319)  0.03
Sn (0.871, 0.491, 0.132)  -0.02
Sn (0.129, 0.509, 0.868)  -0.02
Sn (0.371, 0.491, 0.368)  -0.02
Sn (0.672, 0.917, 0.036)  -0.03
Sn (0.172, 0.917, 0.464)  -0.03
Sn (0.828, 0.083, 0.536)  -0.03
Sn (0.629, 0.509, 0.632)  -0.02
Sn (0.328, 0.083, 0.964)  -0.03


[2]
A plane-wave DFT calculation with PBE was carried out for an optimized crystal structure of CuAu2Cl.

Output
ΔE_f (raw) in meV/atom: 261
D(E_F) in states/eV per atom: 0.06
SG: I-42d, No. 122
M_tot in μB/f.u.: 0.000
Calculated density in g cm⁻³: 9.6
E above lowest polymorph in eV/atom: 0.297

abc: 8.666 8.666 6.539
angles: 48.50 48.50 90.00
Positions (direct):
Au (0.875, 0.958, 0.750)
Au (0.708, 0.125, 0.250)
Au (0.375, 0.292, 0.750)
Au (0.042, 0.625, 0.250)
Cl (0.250, 0.750, 0.500)
Cl (0.500, 0.500, 0.000)
Cu (0.750, 0.250, 0.500)
Cu (0.000, 0.000, 0.000)


[3]
A plane-wave DFT calculation with PBE was carried out for an optimized crystal structure of UBS4.

Output
ΔE_f (raw) in meV/atom: -502
D(E_F) in states/eV per atom: 0.58
SG: P2/m, No. 10
M_tot in μB/f.u.: 1.003
Calculated density in g cm⁻³: 3.8

abc: 4.337 6.715 5.670
angles: 91.51 90.00 90.00
Site moments in Bohr magnetons follow the coordinates.
Positions (direct):
S (0.000, 0.834, 0.764)  -0.01
S (0.500, 0.713, 0.254)  -0.06
S (0.000, 0.166, 0.236)  -0.01
S (0.500, 0.287, 0.746)  -0.06
U (0.500, 0.000, 0.500)  1.11
B (0.000, 0.000, 0.000)  0.01


[4]
A plane-wave DFT calculation with PBE was carried out for an optimized crystal structure of PtSN2F.

Output
ΔE_f (raw) in meV/atom: 1280
D(E_F) in states/eV per atom: 1.00
SG: P4/mmm, No. 123
M_tot in μB/f.u.: 1.075
Calculated density in g cm⁻³: 6.0
E above lowest polymorph in eV/atom: 0.000

abc: 3.737 3.737 5.437
angles: 90.00 90.00 90.00
Site moments in Bohr magnetons follow the coordinates.
Positions (direct):
N (0.500, 0.000, 0.000)  0.02
N (0.000, 0.500, 0.000)  0.02
Pt (0.000, 0.000, 0.000)  0.01
S (0.000, 0.000, 0.500)  0.56
F (0.500, 0.500, 0.500)  0.16


[5]
A plane-wave DFT calculation with PBE was carried out for an optimized crystal structure of Ce3CuSn3.

Output
D(E_F) in states/eV per atom: 2.73
SG: C2/m, No. 12
Formation energy from the elements in kJ/mol of atoms: -51
M_tot in μB/f.u.: 2.729
Calculated density in g cm⁻³: 7.4

abc: 4.571 6.198 14.535
angles: 84.04 80.95 68.36
Site moments in Bohr magnetons follow the coordinates.
Positions (direct):
Ce (0.470, 0.672, 0.387)  0.74
Ce (0.743, 0.745, 0.769)  0.80
Ce (0.530, 0.328, 0.613)  0.74
Ce (0.406, 0.270, 0.918)  0.77
Ce (0.594, 0.730, 0.082)  0.77
Ce (0.257, 0.255, 0.231)  0.80
Sn (0.031, 0.178, 0.761)  -0.01
Sn (0.969, 0.822, 0.239)  -0.01
Sn (0.871, 0.183, 0.075)  -0.02
Sn (0.851, 0.752, 0.546)  -0.01
Sn (0.129, 0.817, 0.925)  -0.02
Sn (0.149, 0.248, 0.454)  -0.01
Cu (0.767, 0.073, 0.393)  0.00
Cu (0.233, 0.927, 0.607)  0.00


[6]
A plane-wave DFT calculation with PBE was carried out for an optimized crystal structure of Tc2PbW.

Output
D(E_F) in states/eV per atom: 1.20
SG: I-42d, No. 122
Formation energy from the elements in kJ/mol of atoms: 98
M_tot in μB/f.u.: 0.007
Calculated density in g cm⁻³: 12.5

abc: 7.441 7.441 5.970
angles: 51.45 51.45 90.00
Positions (direct):
W (0.250, 0.750, 0.500)
W (0.500, 0.500, 0.000)
Pb (0.000, 0.000, 0.000)
Pb (0.750, 0.250, 0.500)
Tc (0.180, 0.625, 0.250)
Tc (0.375, 0.430, 0.750)
Tc (0.570, 0.125, 0.250)
Tc (0.875, 0.820, 0.750)